VASP calculation (PBE-GGA) on a geometry-optimized GdThTlOs structure.

- calculated density (g/cm3) = 13.08
- formation energy from the elements (eV per atom) = -0.040
- V (Å³/cell) = 99.55

abc: 5.2021 5.2021 5.2021
angles: 60.00 60.00 60.00
Atoms (fractional coordinates):
Tl: 0.0000 0.0000 0.0000
Gd: 0.2500 0.2500 0.2500
Os: 0.5000 0.5000 0.5000
Th: 0.7500 0.7500 0.7500